Entry from Alexandria via LeMat-Bulk: a relaxed structure of Li5MgRh (PBE).

Output
- ΔH_f (0 K) (meV/atom) = -11
- total moment (μB per atom) = 0.0000
- DOS(E_F) (states/eV/cell) = 6.136

Lattice parameters (Å, degrees): 5.734 5.734 9.425 102.36 102.36 56.84
Atoms (fractional coordinates):
1 Li 0.055 0.224 0.533
2 Li 0.161 0.391 0.844
3 Li 0.224 0.055 0.033
4 Li 0.225 0.775 0.750
5 Li 0.391 0.161 0.344
6 Li 0.609 0.839 0.656
7 Li 0.775 0.225 0.250
8 Li 0.776 0.945 0.967
9 Li 0.839 0.609 0.156
10 Li 0.945 0.776 0.467
11 Mg 0.297 0.703 0.250
12 Mg 0.703 0.297 0.750
13 Rh 0.500 0.500 0.000
14 Rh 0.500 0.500 0.500